Entry from Alexandria: an optimized crystal structure of MgTlTcF2 (PBE).

Calculated values
energy relative to the elements, uncorrected	-0.6316	eV/atom
M_tot	2.2	μB/f.u.
E	-4.2455	eV per atom
theoretical density	6.16	Mg/m³
space-group type	P4/mmm, No. 123

abc: 4.1730 5.6488 4.1730
angles: 90.00 90.00 90.00
Element x y z (fractional)
Mg: 0.0000 0.5000 0.0000
Tl: 0.5000 0.5000 0.5000
Tc: 0.0000 0.0000 0.0000
F: 0.0000 0.0000 0.5000
F: 0.5000 0.0000 0.0000



Entry from Alexandria: an optimized crystal structure of CsKGaBi (PBE).

Calculated values
M_tot	0.0	μB/f.u.
E	-2.3398	eV per atom
theoretical density	4.92	Mg/m³
space-group type	F-43m, No. 216
ΔE_f	-125	meV/atom

abc: 5.9914 5.9914 5.9914
angles: 60.00 60.00 60.00
Element x y z (fractional)
Cs: 0.2500 0.2500 0.2500
K: 0.5000 0.5000 0.5000
Bi: 0.7500 0.7500 0.7500
Ga: 0.0000 0.0000 0.0000



Entry from Alexandria: an optimized crystal structure of AcHoCoPd (PBE).

Calculated values
M_tot	0.4	μB/f.u.
E	-5.5484	eV per atom
theoretical density	10.08	Mg/m³
space-group type	F-43m, No. 216
ΔE_f	-302	meV/atom

abc: 5.0632 5.0632 5.0632
angles: 60.00 60.00 60.00
Element x y z (fractional)
Ac: 0.7500 0.7500 0.7500
Co: 0.5000 0.5000 0.5000
Ho: 0.2500 0.2500 0.2500
Pd: 0.0000 0.0000 0.0000



Entry from Alexandria: an optimized crystal structure of NdDy2PuO8 (PBE).

Calculated values
energy relative to the elements, uncorrected	-3.0511	eV/atom
M_tot	1.0	μB/f.u.
E	-8.7153	eV per atom
theoretical density	7.49	Mg/m³
space-group type	Cmmm, No. 65

abc: 5.1265 5.1305 7.0900
angles: 90.00 90.00 90.20
Element x y z (fractional)
Nd: 0.0000 0.0000 0.5000
Dy: 0.5000 0.5000 0.7426
Dy: 0.5000 0.5000 0.2574
Pu: 0.0000 0.0000 0.0000
O: 0.1862 0.8137 0.2149
O: 0.7226 0.7230 0.0000
O: 0.8138 0.1863 0.2149
O: 0.8138 0.1863 0.7851
O: 0.2774 0.2770 0.0000
O: 0.1862 0.8137 0.7851
O: 0.6841 0.6840 0.5000
O: 0.3159 0.3160 0.5000



Entry from Alexandria: an optimized crystal structure of GaPtCl2 (PBE).

Calculated values
energy relative to the elements, uncorrected	0.1749	eV/atom
M_tot	1.4	μB/f.u.
E	-3.0153	eV per atom
theoretical density	5.45	Mg/m³
distance to the lowest polymorph of the same formula	135	meV/atom
space-group type	R-3m, No. 166

abc: 8.9804 8.9804 8.9804
angles: 23.64 23.64 23.64
Element x y z (fractional)
Ga: 0.0000 0.0000 0.0000
Pt: 0.5000 0.5000 0.5000
Cl: 0.8883 0.8883 0.8883
Cl: 0.1117 0.1117 0.1117



Entry from Alexandria: an optimized crystal structure of Y2Ga3Sn3 (PBE).

Calculated values
M_tot	0.0	μB/f.u.
E	-4.7238	eV per atom
theoretical density	6.71	Mg/m³
space-group type	Pmmm, No. 47
ΔE_f	-472	meV/atom

abc: 4.3429 4.4432 9.5316
angles: 90.00 90.00 90.00
Element x y z (fractional)
Y: 0.0000 0.0000 0.7574
Y: 0.0000 0.0000 0.2426
Ga: 0.5000 0.5000 0.7675
Ga: 0.5000 0.5000 0.2325
Ga: 0.5000 0.0000 0.0000
Sn: 0.5000 0.0000 0.5000
Sn: 0.0000 0.5000 0.0000
Sn: 0.0000 0.5000 0.5000



Entry from Alexandria: an optimized crystal structure of Tl2NiTe (PBE).

Calculated values
energy relative to the elements, uncorrected	-0.0832	eV/atom
M_tot	0.0	μB/f.u.
E	-3.4971	eV per atom
theoretical density	8.46	Mg/m³
distance to the lowest polymorph of the same formula	0	meV/atom
space-group type	Cm, No. 8

abc: 4.3856 4.3856 7.6632
angles: 73.55 73.55 56.86
Element x y z (fractional)
Ni: 0.5262 0.5262 0.3747
Te: 0.2045 0.2045 0.3744
Tl: 0.9812 0.9812 0.0699
Tl: 0.7881 0.7881 0.6810



Entry from Alexandria: an optimized crystal structure of Ac4GaPt (PBE).

Calculated values
M_tot	0.0	μB/f.u.
E	-4.7376	eV per atom
theoretical density	8.46	Mg/m³
space-group type	C2/c, No. 15
ΔE_f	-487	meV/atom

abc: 7.7931 7.5810 9.3285
angles: 109.23 110.05 100.63
Element x y z (fractional)
Ac: 0.9516 0.2870 0.0694
Ac: 0.6178 0.7824 0.0694
Ac: 0.2868 0.5394 0.5722
Ac: 0.7132 0.4606 0.4278
Ac: 0.2146 0.9672 0.4278
Ac: 0.3822 0.2176 0.9306
Ac: 0.7854 0.0328 0.5722
Ac: 0.0484 0.7130 0.9306
Ga: 0.3741 0.6241 0.2483
Ga: 0.6259 0.3759 0.7517
Pt: 0.0805 0.8305 0.6610
Pt: 0.9195 0.1695 0.3390